# 1
Here is a relaxed KBe2Re crystal from Alexandria. Energies are from GGA-PBE.

Computed properties:
Total moment, μB per atom: 0.50
D(E_F), states/eV per cell: 4.2
ΔH_f (0 K), eV/atom: 1.31
Energy above the lowest structure with this stoichiometry, eV/atom: 0.845
Space group: No. 141
Calculated volume, Å³/f.u.: 90.8

abc: 4.815 4.815 8.541
angles: 73.63 73.63 90.00
Atoms (fractional coordinates):
Re 0.000 0.000 0.000
Re 0.750 0.250 0.500
K 0.500 0.500 0.000
K 0.250 0.750 0.500
Be 0.875 0.125 0.250
Be 0.875 0.625 0.250
Be 0.375 0.125 0.750
Be 0.875 0.125 0.750



# 2
Here is a relaxed CsNi2H2 crystal from Alexandria. Energies are from GGA-PBE.

Computed properties:
Total moment, μB per atom: 0.00
D(E_F), states/eV per cell: 1.2
Space group: No. 139
Total DFT energy (no corrections), eV per atom: -3.75
Calculated volume, Å³/f.u.: 74.9

abc: 3.536 3.536 6.488
angles: 74.19 74.19 90.00
Atoms (fractional coordinates):
Cs 0.000 0.000 0.000
Ni 0.258 0.258 0.485
Ni 0.742 0.742 0.515
H 0.750 0.250 0.500
H 0.250 0.750 0.500



# 3
Here is a relaxed ZrNi6B crystal from Alexandria. Energies are from GGA-PBE.

Computed properties:
Total moment, μB per atom: 0.00
D(E_F), states/eV per cell: 5.8
ΔH_f (0 K), eV/atom: -0.13
Space group: No. 166
Calculated volume, Å³/f.u.: 99.8

abc: 5.112 5.112 5.308
angles: 61.22 61.22 60.00
Atoms (fractional coordinates):
Zr 0.500 0.500 0.500
Ni 0.900 0.900 0.763
Ni 0.436 0.900 0.763
Ni 0.100 0.564 0.237
Ni 0.564 0.100 0.237
Ni 0.100 0.100 0.237
Ni 0.900 0.436 0.763
B 0.000 0.000 0.000



# 4
Here is a relaxed GdPaTe2 crystal from Alexandria. Energies are from GGA-PBE.

Computed properties:
Total moment, μB per atom: 2.22
D(E_F), states/eV per cell: 8.0
Energy above the lowest structure with this stoichiometry, eV/atom: 0.000
Space group: No. 123
Calculated volume, Å³/f.u.: 107.9
ΔE_f (raw), eV/atom: -0.941

abc: 3.774 3.774 7.572
angles: 90.00 90.00 90.00
Atoms (fractional coordinates):
Gd 0.500 0.500 0.500
Pa 0.500 0.500 0.000
Te 0.000 0.000 0.757
Te 0.000 0.000 0.243



# 5
Here is a relaxed Pr3SiP2Pt9 crystal from Alexandria. Energies are from GGA-PBE.

Computed properties:
Total moment, μB per atom: 0.00
D(E_F), states/eV per cell: 6.3
Space group: No. 164
Calculated volume, Å³/f.u.: 301.8
ΔE_f (raw), eV/atom: -0.781

abc: 6.461 6.461 8.348
angles: 90.00 90.00 120.00
Atoms (fractional coordinates):
Pr 0.333 0.667 0.650
Pr 0.000 0.000 0.000
Pr 0.667 0.333 0.350
Si 0.000 0.000 0.500
P 0.333 0.667 0.185
P 0.667 0.333 0.815
Pt 0.853 0.147 0.708
Pt 0.853 0.705 0.708
Pt 0.295 0.147 0.708
Pt 0.705 0.853 0.292
Pt 0.147 0.295 0.292
Pt 0.147 0.853 0.292
Pt 0.500 0.000 0.000
Pt 0.000 0.500 0.000
Pt 0.500 0.500 0.000



# 6
Here is a relaxed Y2ZrAsPb crystal from Alexandria. Energies are from GGA-PBE.

Computed properties:
Total moment, μB per atom: 0.17
D(E_F), states/eV per cell: 5.5
ΔH_f (0 K), eV/atom: -0.41
Space group: No. 123
Calculated volume, Å³/f.u.: 146.1

abc: 5.367 5.073 5.367
angles: 90.00 90.00 90.00
Atoms (fractional coordinates):
Pb 0.500 0.500 0.500
Y 0.000 0.000 0.500
Y 0.500 0.000 0.000
As 0.000 0.000 0.000
Zr 0.000 0.500 0.000



# 7
Here is a relaxed CuAgSbI2 crystal from Alexandria. Energies are from GGA-PBE.

Computed properties:
Total moment, μB per atom: 0.22
D(E_F), states/eV per cell: 5.4
Energy above the lowest structure with this stoichiometry, eV/atom: 0.306
Space group: No. 123
Calculated volume, Å³/f.u.: 177.1
ΔE_f (raw), eV/atom: 0.780

abc: 5.724 5.724 5.407
angles: 90.00 90.00 90.00
Atoms (fractional coordinates):
I 0.000 0.500 0.000
I 0.500 0.000 0.000
Sb 0.000 0.000 0.500
Cu 0.500 0.500 0.500
Ag 0.000 0.000 0.000



# 8
Here is a relaxed B3Pt2Rh2 crystal from Alexandria. Energies are from GGA-PBE.

Computed properties:
Total moment, μB per atom: 0.00
D(E_F), states/eV per cell: 2.1
ΔH_f (0 K), eV/atom: -0.11
Space group: No. 2
Calculated volume, Å³/f.u.: 90.4

abc: 3.343 5.179 5.694
angles: 103.78 90.11 108.67
Atoms (fractional coordinates):
B 0.000 0.000 0.000
B 0.782 0.565 0.260
B 0.218 0.435 0.740
Pt 0.839 0.679 0.660
Pt 0.161 0.321 0.340
Rh 0.622 0.248 0.923
Rh 0.378 0.752 0.077



# 9
Here is a relaxed Pr2NdPaSb5 crystal from Alexandria. Energies are from GGA-PBE.

Computed properties:
Total moment, μB per atom: 0.00
D(E_F), states/eV per cell: 6.2
Space group: No. 123
Calculated volume, Å³/f.u.: 355.0
ΔE_f (raw), eV/atom: -0.259

abc: 5.474 5.474 11.847
angles: 90.00 90.00 90.00
Atoms (fractional coordinates):
Pr 0.500 0.500 0.274
Pr 0.500 0.500 0.726
Nd 0.000 0.000 0.000
Pa 0.000 0.000 0.500
Sb 0.000 0.500 0.500
Sb 0.500 0.000 0.500
Sb 0.000 0.000 0.750
Sb 0.000 0.000 0.250
Sb 0.500 0.500 0.000



# 10
Here is a relaxed Ce4In2Pb crystal from Alexandria. Energies are from GGA-PBE.

Computed properties:
Total moment, μB per atom: 0.65
D(E_F), states/eV per cell: 24.4
ΔH_f (0 K), eV/atom: 0.03
Space group: No. 139
Calculated volume, Å³/f.u.: 227.3

abc: 6.047 6.047 7.545
angles: 113.63 113.63 90.00
Atoms (fractional coordinates):
Pb 0.000 0.000 0.000
Ce 0.750 0.250 0.500
Ce 0.250 0.750 0.500
Ce 0.500 0.000 0.000
Ce 0.000 0.500 0.000
In 0.624 0.624 0.249
In 0.376 0.376 0.751



# 11
Here is a relaxed HoZn2SiNi4 crystal from Alexandria. Energies are from GGA-PBE.

Computed properties:
Total moment, μB per atom: 0.00
D(E_F), states/eV per cell: 5.5
Space group: No. 166
Calculated volume, Å³/f.u.: 113.1
ΔE_f (raw), eV/atom: -0.376

abc: 4.052 4.052 8.290
angles: 75.85 75.85 60.00
Atoms (fractional coordinates):
Ho 0.000 0.000 0.000
Zn 0.755 0.755 0.735
Zn 0.245 0.245 0.265
Si 0.500 0.500 0.500
Ni 0.406 0.406 0.782
Ni 0.865 0.865 0.406
Ni 0.135 0.135 0.594
Ni 0.594 0.594 0.218



# 12
Here is a relaxed ZnBRh2 crystal from Alexandria. Energies are from GGA-PBE.

Computed properties:
Total moment, μB per atom: 0.00
D(E_F), states/eV per cell: 1.2
ΔH_f (0 K), eV/atom: -0.05
Energy above the lowest structure with this stoichiometry, eV/atom: 0.382
Space group: No. 225
Calculated volume, Å³/f.u.: 47.5

abc: 4.065 4.065 4.065
angles: 60.00 60.00 60.00
Atoms (fractional coordinates):
Zn 0.500 0.500 0.500
B 0.000 0.000 0.000
Rh 0.250 0.250 0.250
Rh 0.750 0.750 0.750



# 13
Here is a relaxed PrNd2In2 crystal from Alexandria. Energies are from GGA-PBE.

Computed properties:
Total moment, μB per atom: 0.00
D(E_F), states/eV per cell: 9.5
ΔH_f (0 K), eV/atom: -0.29
Energy above the lowest structure with this stoichiometry, eV/atom: 0.101
Space group: No. 11
Calculated volume, Å³/f.u.: 159.6

abc: 6.958 8.706 9.428
angles: 72.80 68.28 36.97
Atoms (fractional coordinates):
Pr 0.831 0.750 0.332
Pr 0.169 0.250 0.668
Nd 0.478 0.750 0.041
Nd 0.704 0.250 0.594
Nd 0.522 0.250 0.959
Nd 0.296 0.750 0.406
In 0.651 0.250 0.253
In 0.908 0.750 0.750
In 0.092 0.250 0.250
In 0.349 0.750 0.747



# 14
Here is a relaxed LiTb2SiO crystal from Alexandria. Energies are from GGA-PBE.

Computed properties:
Total moment, μB per atom: 0.00
D(E_F), states/eV per cell: 2.0
Space group: No. 123
Calculated volume, Å³/f.u.: 89.1
ΔE_f (raw), eV/atom: -1.502

abc: 4.030 4.703 4.703
angles: 90.00 90.00 90.00
Atoms (fractional coordinates):
Li 0.500 0.000 0.000
Tb 0.000 0.000 0.500
Tb 0.000 0.500 0.000
Si 0.500 0.500 0.500
O 0.000 0.000 0.000



# 15
Here is a relaxed CuPd5Pt2 crystal from Alexandria. Energies are from GGA-PBE.

Computed properties:
Total moment, μB per atom: 0.00
D(E_F), states/eV per cell: 14.9
ΔH_f (0 K), eV/atom: -0.04
Space group: No. 139
Calculated volume, Å³/f.u.: 120.8

abc: 3.920 3.920 8.340
angles: 103.59 103.59 90.00
Atoms (fractional coordinates):
Cu 0.000 0.000 0.000
Pd 0.500 0.500 0.000
Pd 0.878 0.378 0.757
Pd 0.378 0.878 0.757
Pd 0.122 0.622 0.243
Pd 0.622 0.122 0.243
Pt 0.749 0.749 0.497
Pt 0.251 0.251 0.503



# 16
Here is a relaxed Pa2Be4Si3Ru crystal from Alexandria. Energies are from GGA-PBE.

Computed properties:
Total moment, μB per atom: 0.00
D(E_F), states/eV per cell: 8.5
Space group: No. 115
Calculated volume, Å³/f.u.: 143.8
ΔE_f (raw), eV/atom: -0.381

abc: 3.898 3.898 9.460
angles: 90.00 90.00 90.00
Atoms (fractional coordinates):
Pa 0.500 0.000 0.253
Pa 0.000 0.500 0.747
Be 0.500 0.500 0.000
Be 0.000 0.000 0.000
Be 0.500 0.000 0.631
Be 0.000 0.500 0.369
Si 0.000 0.000 0.500
Si 0.500 0.000 0.869
Si 0.000 0.500 0.131
Ru 0.500 0.500 0.500



# 17
Here is a relaxed BeZnSe2 crystal from Alexandria. Energies are from GGA-PBE.

Computed properties:
Total moment, μB per atom: 0.00
D(E_F), states/eV per cell: 3.3
Energy above the lowest structure with this stoichiometry, eV/atom: 0.657
Space group: No. 63
Calculated volume, Å³/f.u.: 91.7
ΔE_f (raw), eV/atom: -0.088

abc: 10.810 10.810 4.825
angles: 90.00 90.00 161.03
Atoms (fractional coordinates):
Be 0.353 0.647 0.250
Be 0.647 0.353 0.750
Zn 0.128 0.872 0.250
Zn 0.872 0.128 0.750
Se 0.252 0.748 0.250
Se 0.748 0.252 0.750
Se 0.911 0.089 0.250
Se 0.089 0.911 0.750